A plane-wave DFT calculation with PBE was carried out for crystalline La4BeIn at its relaxed geometry.

Cell: 9.122 9.122 9.122 Å, 90.00 90.00 90.00°
Space group F-43m (No. 216)
Symmetry-distinct sites (fractional):
La (0.124, 0.124, 0.376) (multiplicity 16)
Be (0.000, 0.000, 0.000) (multiplicity 4)
In (0.250, 0.250, 0.750) (multiplicity 4)

Calculated values
Calculated volume ... 758.94 Å³/cell
Energy of formation ... 496 meV per atom



A plane-wave DFT calculation with PBE was carried out for crystalline AcAlZnBi at its relaxed geometry.

Cell: 7.622 7.622 7.622 Å, 90.00 90.00 90.00°
Space group F-43m (No. 216)
Symmetry-distinct sites (fractional):
Ac (0.000, 0.000, 0.000) (multiplicity 4)
Al (0.250, 0.250, 0.250) (multiplicity 4)
Zn (0.250, 0.250, 0.750) (multiplicity 4)
Bi (0.000, 0.000, 0.500) (multiplicity 4)

Calculated values
Calculated volume ... 442.74 Å³/cell
Energy of formation ... -126 meV per atom



A plane-wave DFT calculation with PBE was carried out for crystalline Rb2AgSeBr6 at its relaxed geometry.

Cell: 7.754 7.754 11.411 Å, 90.00 90.00 90.00°
Space group I4/mmm (No. 139)
Symmetry-distinct sites (fractional):
Rb (0.000, 0.500, 0.250) (multiplicity 4)
Ag (0.000, 0.000, 0.000) (multiplicity 2)
Se (0.000, 0.000, 0.500) (multiplicity 2)
Br (0.000, 0.000, 0.228) (multiplicity 4)
Br (0.238, 0.238, 0.500) (multiplicity 8)

Calculated values
Calculated volume ... 686.14 Å³/cell
Energy ... -2.641 eV per atom



A plane-wave DFT calculation with PBE was carried out for crystalline La5Ag at its relaxed geometry.

Cell: 4.975 15.387 5.130 Å, 90.00 90.00 90.00°
Space group Cmmm (No. 65)
Symmetry-distinct sites (fractional):
La (0.000, 0.000, 0.000) (multiplicity 2)
La (0.000, 0.168, 0.500) (multiplicity 4)
La (0.000, 0.338, 0.000) (multiplicity 4)
Ag (0.000, 0.500, 0.500) (multiplicity 2)

Calculated values
Calculated volume ... 392.68 Å³/cell
Energy of formation ... 11 meV per atom



A plane-wave DFT calculation with PBE was carried out for crystalline K2HgRhO4 at its relaxed geometry.

Cell: 6.289 6.289 7.157 Å, 90.00 90.00 90.00°
Space group I-4 (No. 82)
Symmetry-distinct sites (fractional):
K (0.000, 0.000, 0.000) (multiplicity 2)
K (0.000, 0.500, 0.250) (multiplicity 2)
Hg (0.000, 0.000, 0.500) (multiplicity 2)
Rh (0.000, 0.500, 0.750) (multiplicity 2)
O (0.156, 0.758, 0.702) (multiplicity 8)

Calculated values
Calculated volume ... 283.07 Å³/cell
Energy ... -4.519 eV per atom



A plane-wave DFT calculation with PBE was carried out for crystalline TbCe2Dy6Ho3 at its relaxed geometry.

Cell: 6.121 10.599 11.715 Å, 90.00 100.03 90.00°
Space group C2/m (No. 12)
Symmetry-distinct sites (fractional):
Tb (0.000, 0.000, 0.000) (multiplicity 2)
Ce (0.000, 0.333, 0.000) (multiplicity 4)
Dy (0.248, 0.332, 0.750) (multiplicity 8)
Dy (0.249, 0.500, 0.250) (multiplicity 4)
Ho (0.000, 0.166, 0.500) (multiplicity 4)
Ho (0.000, 0.500, 0.500) (multiplicity 2)

Calculated values
Calculated volume ... 748.40 Å³/cell
Energy of formation ... 47 meV per atom



A plane-wave DFT calculation with PBE was carried out for crystalline BaUTe4Pt at its relaxed geometry.

Cell: 7.597 6.377 9.608 Å, 90.00 110.21 90.00°
Space group P2_1/m (No. 11)
Symmetry-distinct sites (fractional):
Ba (0.225, 0.250, 0.065) (multiplicity 2)
U (0.282, 0.250, 0.562) (multiplicity 2)
Te (0.028, 0.504, 0.711) (multiplicity 4)
Te (0.420, 0.750, 0.595) (multiplicity 2)
Te (0.441, 0.750, 0.116) (multiplicity 2)
Pt (0.259, 0.750, 0.302) (multiplicity 2)

Calculated values
Calculated volume ... 436.83 Å³/cell
Energy ... -5.338 eV per atom



A plane-wave DFT calculation with PBE was carried out for crystalline K2PtI4Br2 at its relaxed geometry.

Cell: 13.366 7.926 8.084 Å, 90.00 127.17 90.00°
Space group C2/m (No. 12)
Symmetry-distinct sites (fractional):
K (0.247, 0.000, 0.222) (multiplicity 4)
Pt (0.000, 0.000, 0.500) (multiplicity 2)
I (0.032, 0.240, 0.298) (multiplicity 8)
Br (0.233, 0.000, 0.789) (multiplicity 4)

Calculated values
Calculated volume ... 682.48 Å³/cell
Energy ... -2.791 eV per atom



A plane-wave DFT calculation with PBE was carried out for crystalline LaAuBr2 at its relaxed geometry.

Cell: 3.9210 3.9210 28.5961 Å, 90.00 90.00 120.00°
Space group R-3m (No. 166, hexagonal axes)
Symmetry-distinct sites (fractional):
La (0.0000, 0.0000, 0.0000) (multiplicity 3)
Au (0.0000, 0.0000, 0.5000) (multiplicity 3)
Br (0.0000, 0.0000, 0.4042) (multiplicity 6)

Calculated values
Calculated volume ... 380.74 Å³/cell
Energy ... -3.698 eV per atom



A plane-wave DFT calculation with PBE was carried out for crystalline MgSiP2F at its relaxed geometry.

Cell: 5.005 5.005 3.600 Å, 90.00 90.00 90.00°
Space group P4/mmm (No. 123)
Symmetry-distinct sites (fractional):
Mg (0.000, 0.000, 0.000) (multiplicity 1)
Si (0.500, 0.500, 0.500) (multiplicity 1)
P (0.000, 0.500, 0.000) (multiplicity 2)
F (0.000, 0.000, 0.500) (multiplicity 1)

Calculated values
Calculated volume ... 90.19 Å³/cell
Energy ... -4.040 eV per atom



A plane-wave DFT calculation with PBE was carried out for crystalline MoRhCl2 at its relaxed geometry.

Cell: 12.964 3.017 4.590 Å, 90.00 96.15 90.00°
Space group C2/m (No. 12)
Symmetry-distinct sites (fractional):
Mo (0.000, 0.000, 0.000) (multiplicity 2)
Rh (0.000, 0.500, 0.500) (multiplicity 2)
Cl (0.140, 0.500, 0.212) (multiplicity 4)

Calculated values
Calculated volume ... 178.47 Å³/cell
Energy ... -5.520 eV per atom



A plane-wave DFT calculation with PBE was carried out for crystalline AcCeTe2N at its relaxed geometry.

Cell: 4.287 4.287 16.925 Å, 90.00 90.00 90.00°
Space group P4/nmm (No. 129, origin choice 2)
Symmetry-distinct sites (fractional):
Ac (0.250, 0.250, 0.147) (multiplicity 2)
Ce (0.250, 0.250, 0.558) (multiplicity 2)
Te (0.250, 0.250, 0.331) (multiplicity 2)
Te (0.250, 0.250, 0.923) (multiplicity 2)
N (0.250, 0.750, 0.500) (multiplicity 2)

Calculated values
Calculated volume ... 311.09 Å³/cell
Energy ... -6.308 eV per atom



A plane-wave DFT calculation with PBE was carried out for crystalline PrYLuTh at its relaxed geometry.

Cell: 8.057 8.057 8.057 Å, 90.00 90.00 90.00°
Space group F-43m (No. 216)
Symmetry-distinct sites (fractional):
Pr (0.000, 0.000, 0.000) (multiplicity 4)
Y (0.250, 0.250, 0.750) (multiplicity 4)
Lu (0.250, 0.250, 0.250) (multiplicity 4)
Th (0.000, 0.000, 0.500) (multiplicity 4)

Calculated values
Calculated volume ... 523.12 Å³/cell
Energy of formation ... 120 meV per atom



A plane-wave DFT calculation with PBE was carried out for crystalline Rh2Se3 at its relaxed geometry.

Cell: 9.005 6.395 6.497 Å, 90.00 90.00 90.00°
Space group Pbcn (No. 60)
Symmetry-distinct sites (fractional):
Rh (0.108, 0.248, 0.032) (multiplicity 8)
Se (0.000, 0.455, 0.750) (multiplicity 4)
Se (0.151, 0.110, 0.395) (multiplicity 8)

Calculated values
Calculated volume ... 374.15 Å³/cell
Energy ... -5.447 eV per atom



A plane-wave DFT calculation with PBE was carried out for crystalline TlIn2Re at its relaxed geometry.

Cell: 3.156 5.199 5.218 Å, 90.00 90.00 90.00°
Space group Pmmm (No. 47)
Symmetry-distinct sites (fractional):
Tl (0.000, 0.000, 0.000) (multiplicity 1)
In (0.000, 0.500, 0.500) (multiplicity 1)
In (0.500, 0.000, 0.500) (multiplicity 1)
Re (0.500, 0.500, 0.000) (multiplicity 1)

Calculated values
Calculated volume ... 85.61 Å³/cell
Energy of formation ... 843 meV per atom



A plane-wave DFT calculation with PBE was carried out for crystalline HfIn3Pt at its relaxed geometry.

Cell: 5.461 5.461 5.461 Å, 90.00 90.00 90.00°
Space group Pm-3m (No. 221)
Symmetry-distinct sites (fractional):
Hf (0.000, 0.000, 0.000) (multiplicity 1)
In (0.000, 0.000, 0.500) (multiplicity 3)
Pt (0.500, 0.500, 0.500) (multiplicity 1)

Calculated values
Calculated volume ... 162.87 Å³/cell
Energy of formation ... 1124 meV per atom



A plane-wave DFT calculation with PBE was carried out for crystalline NdH2I at its relaxed geometry.

Cell: 3.314 3.314 6.724 Å, 90.00 90.00 90.00°
Space group P4/mmm (No. 123)
Symmetry-distinct sites (fractional):
Nd (0.000, 0.000, 0.000) (multiplicity 1)
H (0.500, 0.500, 0.147) (multiplicity 2)
I (0.000, 0.000, 0.500) (multiplicity 1)

Calculated values
Calculated volume ... 73.85 Å³/cell
Energy ... -3.451 eV per atom



A plane-wave DFT calculation with PBE was carried out for crystalline HoThTi at its relaxed geometry.

Cell: 16.281 3.371 5.841 Å, 90.00 90.00 90.00°
Space group Amm2 (No. 38)
Symmetry-distinct sites (fractional):
Ho (0.188, 0.000, 0.000) (multiplicity 4)
Th (0.000, 0.000, 0.667) (multiplicity 2)
Th (0.500, 0.000, 0.998) (multiplicity 2)
Ti (0.341, 0.000, 0.666) (multiplicity 4)

Calculated values
Calculated volume ... 320.55 Å³/cell
Energy of formation ... 249 meV per atom



A plane-wave DFT calculation with PBE was carried out for crystalline Ho2ThRu at its relaxed geometry.

Cell: 3.435 3.435 8.801 Å, 90.00 90.00 90.00°
Space group P4/mmm (No. 123)
Symmetry-distinct sites (fractional):
Ho (0.000, 0.000, 0.185) (multiplicity 2)
Th (0.500, 0.500, 0.500) (multiplicity 1)
Ru (0.500, 0.500, 0.000) (multiplicity 1)

Calculated values
Calculated volume ... 103.86 Å³/cell
Energy of formation ... -195 meV per atom



A plane-wave DFT calculation with PBE was carried out for crystalline TlS2N at its relaxed geometry.

Cell: 5.392 5.392 11.293 Å, 90.00 90.00 90.00°
Space group I4_1/amd (No. 141, origin choice 2)
Symmetry-distinct sites (fractional):
Tl (0.000, 0.250, 0.375) (multiplicity 4)
S (0.000, 0.000, 0.000) (multiplicity 8)
N (0.000, 0.250, 0.875) (multiplicity 4)

Calculated values
Calculated volume ... 328.37 Å³/cell
Energy ... -4.035 eV per atom



A plane-wave DFT calculation with PBE was carried out for crystalline KGaGe at its relaxed geometry.

Cell: 4.290 5.485 7.448 Å, 90.00 90.00 90.00°
Space group Pmmm (No. 47)
Symmetry-distinct sites (fractional):
K (0.000, 0.000, 0.000) (multiplicity 1)
K (0.500, 0.000, 0.500) (multiplicity 1)
Ga (0.000, 0.500, 0.332) (multiplicity 2)
Ge (0.500, 0.500, 0.166) (multiplicity 2)

Calculated values
Calculated volume ... 175.23 Å³/cell
Energy of formation ... -150 meV per atom



A plane-wave DFT calculation with PBE was carried out for crystalline SmDyScPd at its relaxed geometry.

Cell: 7.352 7.352 7.352 Å, 90.00 90.00 90.00°
Space group F-43m (No. 216)
Symmetry-distinct sites (fractional):
Sm (0.000, 0.000, 0.000) (multiplicity 4)
Dy (0.000, 0.000, 0.500) (multiplicity 4)
Sc (0.250, 0.250, 0.750) (multiplicity 4)
Pd (0.250, 0.250, 0.250) (multiplicity 4)

Calculated values
Calculated volume ... 397.37 Å³/cell
Energy of formation ... -160 meV per atom



A plane-wave DFT calculation with PBE was carried out for crystalline SrPmTlIn at its relaxed geometry.

Cell: 3.946 3.946 8.059 Å, 90.00 90.00 90.00°
Space group P4mm (No. 99)
Symmetry-distinct sites (fractional):
Sr (0.000, 0.000, 0.000) (multiplicity 1)
Pm (0.000, 0.000, 0.496) (multiplicity 1)
Tl (0.500, 0.500, 0.732) (multiplicity 1)
In (0.500, 0.500, 0.267) (multiplicity 1)

Calculated values
Calculated volume ... 125.50 Å³/cell
Energy of formation ... -428 meV per atom



A plane-wave DFT calculation with PBE was carried out for crystalline Ir2Pb4Br at its relaxed geometry.

Cell: 5.646 5.646 14.619 Å, 90.00 90.00 90.00°
Space group I4/mmm (No. 139)
Symmetry-distinct sites (fractional):
Ir (0.000, 0.000, 0.082) (multiplicity 4)
Pb (0.000, 0.000, 0.261) (multiplicity 4)
Pb (0.000, 0.500, 0.000) (multiplicity 4)
Br (0.000, 0.000, 0.500) (multiplicity 2)

Calculated values
Calculated volume ... 465.95 Å³/cell
Energy ... -4.297 eV per atom



A plane-wave DFT calculation with PBE was carried out for crystalline LiCd4Ag7 at its relaxed geometry.

Cell: 5.159 5.164 9.204 Å, 90.20 100.98 98.00°
Space group P-1 (No. 2)
Symmetry-distinct sites (fractional):
Li (0.000, 0.000, 0.000) (multiplicity 1)
Cd (0.180, 0.612, 0.776) (multiplicity 2)
Cd (0.433, 0.146, 0.692) (multiplicity 2)
Ag (0.110, 0.768, 0.461) (multiplicity 2)
Ag (0.275, 0.488, 0.080) (multiplicity 2)
Ag (0.342, 0.306, 0.381) (multiplicity 2)
Ag (0.500, 0.000, 0.000) (multiplicity 1)

Calculated values
Calculated volume ... 238.24 Å³/cell
Energy of formation ... -24 meV per atom



A plane-wave DFT calculation with PBE was carried out for crystalline NdCuS at its relaxed geometry.

Cell: 5.536 5.513 8.270 Å, 90.00 91.29 90.00°
Space group C2/m (No. 12)
Symmetry-distinct sites (fractional):
Nd (0.242, 0.000, 0.285) (multiplicity 4)
Cu (0.223, 0.500, 0.057) (multiplicity 4)
S (0.244, 0.500, 0.350) (multiplicity 4)

Calculated values
Calculated volume ... 252.35 Å³/cell
Energy ... -5.455 eV per atom